## Pm12DyHo2 (PBE-GGA)

Data for crystalline Pm12DyHo2 at its relaxed geometry.

Properties
The calculation puts the density of states at the Fermi level at 1.396 states/eV/atom. The value obtained for the energy relative to the elements is 358 meV/atom.

a b c (Å): 6.5742 6.5742 24.9802
angles (deg): 90.00 90.00 90.00
Atoms (fractional coordinates):
Ho1 0.0000 0.5000 0.7498
Ho2 0.0000 0.5000 0.2502
Ho3 0.5000 0.0000 0.7498
Ho4 0.5000 0.0000 0.2502
Pm1 0.1675 0.3325 0.4374
Pm2 0.0000 0.0000 0.7903
Pm3 0.5000 0.5000 0.3322
Pm4 0.8325 0.3325 0.5626
Pm5 0.2496 0.7496 0.8899
Pm6 0.7496 0.7504 0.8899
Pm7 0.0000 0.0000 0.3322
Pm8 0.7504 0.7496 0.1101
Pm9 0.5000 0.5000 0.6678
Pm10 0.3325 0.1675 0.5626
Pm11 0.2504 0.2496 0.8899
Pm12 0.2496 0.2504 0.1101
Pm13 0.8325 0.6675 0.4374
Pm14 0.6675 0.8325 0.5626
Pm15 0.2504 0.7504 0.1101
Pm16 0.0000 0.0000 0.6678
Pm17 0.5000 0.5000 0.7903
Pm18 0.3325 0.8325 0.4374
Pm19 0.1675 0.6675 0.5626
Pm20 0.5000 0.5000 0.2097
Pm21 0.6675 0.1675 0.4374
Pm22 0.0000 0.0000 0.2097
Pm23 0.7496 0.2496 0.1101
Pm24 0.7504 0.2504 0.8899
Dy1 0.5000 0.0000 0.0000
Dy2 0.0000 0.5000 0.0000